1.
A plane-wave DFT calculation with PBE-GGA was carried out for a geometry-optimized CaLa2GaC structure.

The formation energy is -4.28 kcal/mol of atoms. The value obtained for the total energy is -5.007 eV/atom. The value obtained for the calculated volume is 26.64 A^3/atom. As for the density of states at the Fermi level: 6.2 states/eV per cell.

The space group is P4/mmm (No. 123) and the conventional cell measures 5.152, 5.152 and 5.017 Å, with angles of 90.00, 90.00 and 90.00 degrees. Symmetry generates all atoms from Ca at (0.000, 0.000, 0.000), La at (0.000, 0.500, 0.500), Ga at (0.500, 0.500, 0.000) and C at (0.000, 0.000, 0.500).

2.
A plane-wave DFT calculation with PBE-GGA was carried out for a geometry-optimized LiCaGaC2 structure.

The formation energy is 49.29 kcal/mol of atoms. The value obtained for the total energy is -2.940 eV/atom. The value obtained for the calculated volume is 19.62 A^3/atom. As for the density of states at the Fermi level: 3.2 states/eV per cell.

The space group is P4/mmm (No. 123) and the conventional cell measures 4.506, 4.506 and 4.831 Å, with angles of 90.00, 90.00 and 90.00 degrees. Symmetry generates all atoms from Li at (0.000, 0.000, 0.000), Ca at (0.000, 0.000, 0.500), Ga at (0.500, 0.500, 0.000) and C at (0.000, 0.500, 0.500).

3.
A plane-wave DFT calculation with PBE-GGA was carried out for a geometry-optimized CaGaCN2 structure.

As for the uncorrected formation energy: 1.77 eV/atom. The value obtained for the total energy is -4.415 eV/atom. The value obtained for the calculated volume is 18.46 A^3/atom. As for the density of states at the Fermi level: 4.1 states/eV per cell.

The space group is P4/mmm (No. 123) and the conventional cell measures 3.717, 3.717 and 6.681 Å, with angles of 90.00, 90.00 and 90.00 degrees. Symmetry generates all atoms from Ca at (0.000, 0.000, 0.000), Ga at (0.000, 0.000, 0.500), C at (0.500, 0.500, 0.000) and N at (0.000, 0.500, 0.500).

4.
A plane-wave DFT calculation with PBE-GGA was carried out for a geometry-optimized CaGaPb2C structure.

The formation energy is 10.66 kcal/mol of atoms. The value obtained for the total energy is -3.872 eV/atom. The value obtained for the calculated volume is 24.89 A^3/atom. As for the density of states at the Fermi level: 2.1 states/eV per cell.

The space group is P4/mmm (No. 123) and the conventional cell measures 5.827, 5.827 and 3.665 Å, with angles of 90.00, 90.00 and 90.00 degrees. Symmetry generates all atoms from Ca at (0.000, 0.000, 0.000), Ga at (0.500, 0.500, 0.000), Pb at (0.000, 0.500, 0.500) and C at (0.500, 0.500, 0.500).